Here is GdWBrO4 after structural relaxation from Alexandria via LeMat-Bulk. Energies are from PBE with a Hubbard U.

E_tot, eV/f.u.: -59.30
DOS at the Fermi energy, states/eV/cell: 0.00
Calculated volume, Å³ per cell: 540

abc: 7.127 7.446 11.168
angles: 102.96 108.58 94.67
Space group P-1 (No. 2)
Symmetry-distinct sites (fractional):
Gd: 0.127 0.338 0.233 [2 per cell]
Gd: 0.166 0.099 0.729 [2 per cell]
W: 0.225 0.817 0.133 [2 per cell]
W: 0.262 0.582 0.625 [2 per cell]
Br: 0.235 0.977 0.481 [2 per cell]
Br: 0.303 0.273 0.013 [2 per cell]
O: 0.100 0.011 0.191 [2 per cell]
O: 0.150 0.741 0.958 [2 per cell]
O: 0.152 0.629 0.197 [2 per cell]
O: 0.157 0.777 0.704 [2 per cell]
O: 0.159 0.499 0.447 [2 per cell]
O: 0.224 0.391 0.695 [2 per cell]
O: 0.471 0.353 0.331 [2 per cell]
O: 0.493 0.887 0.202 [2 per cell]